Record 1
An optimized crystal structure of GdDy2Au, computed with PBE.

POSCAR file:
```
GdDy2Au
1.0
5.2645 0.0000 0.0000
0.0000 5.2645 0.0000
0.0000 0.0000 3.7984
Gd Dy Au
1 2 1
Direct
0.0000 0.0000 0.0000
0.0000 0.5000 0.5000
0.5000 0.0000 0.5000
0.5000 0.5000 0.0000
```

The calculation puts the relative energy among the computed polymorphs at 159.9 meV per atom. The value obtained for the size of the total moment is 7.5 Bohr magnetons per cell. For the total energy, the calculation gives -6.8744 eV/atom. The formation energy is -0.9 eV/f.u.

=====

Record 2
An optimized crystal structure of KCrC3, computed with PBE.

POSCAR file:
```
KCrC3
1.0
4.2884 0.0000 0.0000
0.0000 4.2884 0.0000
0.0000 0.0000 4.2884
K Cr C
1 1 3
Direct
0.0000 0.0000 0.0000
0.5000 0.5000 0.5000
0.0000 0.0000 0.5000
0.0000 0.5000 0.0000
0.5000 0.0000 0.0000
```

The calculation puts the relative energy among the computed polymorphs at 2762.7 meV per atom. The value obtained for the size of the total moment is 2.5 Bohr magnetons per cell. For the total energy, the calculation gives -3.4002 eV/atom. The formation energy is 21.4 eV/f.u.

=====

Record 3
An optimized crystal structure of Y11Al9Cu4, computed with PBE.

POSCAR file:
```
Y11Al9Cu4
1.0
7.0184 -10.5498 0.0000
7.0184 10.5498 0.0000
0.0000 0.0000 3.6036
Y Al Cu
11 9 4
Direct
0.0000 0.0000 0.0000
0.0642 0.4112 0.0000
0.1631 0.8369 0.0000
0.3059 0.3059 0.0000
0.3710 0.6290 0.0000
0.4112 0.0642 0.0000
0.5888 0.9358 0.0000
0.6290 0.3710 0.0000
0.6941 0.6941 0.0000
0.8369 0.1631 0.0000
0.9358 0.5888 0.0000
0.0784 0.2174 0.5000
0.1646 0.6318 0.5000
0.2174 0.0784 0.5000
0.3682 0.8354 0.5000
0.5000 0.5000 0.5000
0.6318 0.1646 0.5000
0.7826 0.9216 0.5000
0.8354 0.3682 0.5000
0.9216 0.7826 0.5000
0.2457 0.4483 0.5000
0.4483 0.2457 0.5000
0.5517 0.7543 0.5000
0.7543 0.5517 0.5000
```

The value obtained for the size of the total moment is 0.0 Bohr magnetons per cell. For the total energy, the calculation gives -5.4479 eV/atom. The formation energy is -9.6 eV/f.u.

=====

Record 4
An optimized crystal structure of Cr2RePdN, computed with PBE.

POSCAR file:
```
Cr2RePdN
1.0
3.9022 0.0000 0.0000
0.0000 3.9022 0.0000
0.0000 0.0000 3.9879
Cr Re Pd N
2 1 1 1
Direct
0.0000 0.5000 0.0000
0.5000 0.0000 0.0000
0.0000 0.0000 0.5000
0.5000 0.5000 0.5000
0.0000 0.0000 0.0000
```

The value obtained for the size of the total moment is 1.7 Bohr magnetons per cell. For the total energy, the calculation gives -9.0954 eV/atom.

=====

Repeat the fourth record exactly.
An optimized crystal structure of Cr2RePdN, computed with PBE.

POSCAR file:
```
Cr2RePdN
1.0
3.9022 0.0000 0.0000
0.0000 3.9022 0.0000
0.0000 0.0000 3.9879
Cr Re Pd N
2 1 1 1
Direct
0.0000 0.5000 0.0000
0.5000 0.0000 0.0000
0.0000 0.0000 0.5000
0.5000 0.5000 0.5000
0.0000 0.0000 0.0000
```

The value obtained for the size of the total moment is 1.7 Bohr magnetons per cell. For the total energy, the calculation gives -9.0954 eV/atom.